Material: La2Y3Ho4
Method: DFT, GGA-PBE
State: relaxed

Properties
**Uncorrected energy**: -5.186 eV per atom
**Magnetic moment**: 0.000 μB/f.u.
**E_form**: 0.10 eV/atom

a = 10.230 Å, b = 10.230 Å, c = 6.048 Å
α = 95.86°, β = 95.86°, γ = 69.82°
Fractional positions:
La  0.011  0.775  0.723
La  0.225  0.989  0.777
La  0.775  0.011  0.223
La  0.989  0.225  0.277
Y  0.149  0.851  0.250
Y  0.189  0.485  0.410
Y  0.485  0.189  0.910
Y  0.515  0.811  0.090
Y  0.811  0.515  0.590
Y  0.851  0.149  0.750
Ho  0.123  0.345  0.865
Ho  0.333  0.547  0.957
Ho  0.345  0.123  0.365
Ho  0.453  0.667  0.543
Ho  0.547  0.333  0.457
Ho  0.655  0.877  0.635
Ho  0.667  0.453  0.043
Ho  0.877  0.655  0.135

***

Material: La2YHo6
Method: DFT, GGA-PBE
State: relaxed

Properties
**Uncorrected energy**: -4.794 eV per atom
**Magnetic moment**: 0.000 μB/f.u.
**E_form**: 0.07 eV/atom

a = 10.423 Å, b = 10.423 Å, c = 10.423 Å
α = 123.79°, β = 70.66°, γ = 140.80°
Fractional positions:
La  0.083  0.250  0.833
La  0.417  0.250  0.167
La  0.583  0.750  0.833
La  0.917  0.750  0.167
Y  0.250  0.750  0.500
Y  0.750  0.250  0.500
Ho  0.001  0.831  0.831
Ho  0.165  0.335  0.499
Ho  0.166  0.665  0.831
Ho  0.334  0.165  0.499
Ho  0.335  0.835  0.170
Ho  0.499  0.331  0.830
Ho  0.501  0.669  0.170
Ho  0.665  0.165  0.830
Ho  0.666  0.835  0.501
Ho  0.834  0.335  0.169
Ho  0.835  0.665  0.501
Ho  0.999  0.169  0.169

***

Material: La3Y4Ho
Method: DFT, GGA-PBE
State: relaxed

Properties
**Uncorrected energy**: -5.625 eV per atom
**Magnetic moment**: 0.000 μB/f.u.
**E_form**: 0.03 eV/atom

a = 11.637 Å, b = 7.390 Å, c = 6.367 Å
α = 90.00°, β = 90.00°, γ = 90.00°
Fractional positions:
La  0.000  0.128  0.000
La  0.246  0.876  0.829
La  0.254  0.124  0.329
La  0.500  0.872  0.500
La  0.746  0.124  0.329
La  0.754  0.876  0.829
Y  0.000  0.376  0.493
Y  0.000  0.868  0.492
Y  0.248  0.621  0.329
Y  0.252  0.379  0.829
Y  0.500  0.132  0.992
Y  0.500  0.624  0.993
Y  0.748  0.379  0.829
Y  0.752  0.621  0.329
Ho  0.000  0.620  0.993
Ho  0.500  0.380  0.493

***

Material: La5Y6Ho2
Method: DFT, GGA-PBE
State: relaxed

Properties
**Uncorrected energy**: -5.488 eV per atom
**Magnetic moment**: 0.000 μB/f.u.
**E_form**: 0.09 eV/atom

a = 11.767 Å, b = 20.862 Å, c = 3.638 Å
α = 90.00°, β = 90.00°, γ = 90.00°
Fractional positions:
La  0.000  0.000  0.000
La  0.079  0.271  0.000
La  0.201  0.549  0.000
La  0.299  0.049  0.000
La  0.421  0.771  0.000
La  0.500  0.500  0.000
La  0.579  0.229  0.000
La  0.701  0.951  0.000
La  0.799  0.451  0.000
La  0.921  0.729  0.000
Y  0.061  0.418  0.500
Y  0.079  0.131  0.500
Y  0.178  0.860  0.000
Y  0.322  0.360  0.000
Y  0.421  0.631  0.500
Y  0.439  0.918  0.500
Y  0.561  0.082  0.500
Y  0.579  0.369  0.500
Y  0.678  0.640  0.000
Y  0.822  0.140  0.000
Y  0.921  0.869  0.500
Y  0.939  0.582  0.500
Ho  0.173  0.710  0.500
Ho  0.327  0.210  0.500
Ho  0.673  0.790  0.500
Ho  0.827  0.290  0.500

***

| no. | N(E_F) (states/eV/cell) |
| --- | --- |
| 1 | 28.08 |
| 2 | 30.16 |
| 3 | 29.82 |
| 4 | 34.31 |